Arrangement 1

A geometry-optimized K2Si structure. Source: Alexandria via LeMat-Bulk, functional PBE.

Cell lengths 10.958, 10.958, 3.945 Å; angles 90.00, 90.00, 149.49 degrees
Positions (direct):
K 0.073 0.927 0.750
K 0.323 0.677 0.250
K 0.677 0.323 0.750
K 0.927 0.073 0.250
Si 0.468 0.532 0.750
Si 0.532 0.468 0.250

## Properties
Its symmetry is Cmcm (63).

---

Arrangement 2

A geometry-optimized K2Si structure. Source: Alexandria via LeMat-Bulk, functional PBE.

Cell lengths 8.821, 8.821, 7.392 Å; angles 102.28, 102.28, 29.63 degrees
Positions (direct):
K 0.103 0.103 0.074
K 0.140 0.140 0.597
K 0.860 0.860 0.403
K 0.897 0.897 0.926
Si 0.496 0.496 0.647
Si 0.504 0.504 0.353

## Properties
Its symmetry is C2/m (12).

---

Energy ordering: arrangement 1 at the bottom, the next structure 139 meV per atom above.

---

Arrangement 1

A geometry-optimized KSi2 structure. Source: Alexandria via LeMat-Bulk, functional PBE.

Cell lengths 6.817, 6.817, 7.736 Å; angles 118.52, 118.52, 31.48 degrees
Positions (direct):
K 0.053 0.053 0.297
K 0.947 0.947 0.703
Si 0.308 0.308 0.255
Si 0.309 0.309 0.944
Si 0.691 0.691 0.056
Si 0.692 0.692 0.745

## Properties
Its symmetry is C2/m (12).

---

Arrangement 2

A geometry-optimized KSi2 structure. Source: Alexandria via LeMat-Bulk, functional PBE.

Cell lengths 12.202, 12.202, 3.841 Å; angles 90.00, 90.00, 165.15 degrees
Positions (direct):
K 0.123 0.877 0.750
K 0.877 0.123 0.250
Si 0.245 0.755 0.250
Si 0.471 0.529 0.750
Si 0.529 0.471 0.250
Si 0.755 0.245 0.750

## Properties
Its symmetry is Cmcm (63).

---

Energy ordering: arrangement 1 at the bottom, the next structure 215 meV per atom above.

---

Arrangement 1

A geometry-optimized KSi2 structure. Source: Alexandria via LeMat-Bulk, functional PBE.

Cell lengths 6.619, 3.687, 13.562 Å; angles 90.00, 90.00, 90.00 degrees
Positions (direct):
K 0.084 0.250 0.152
K 0.416 0.750 0.652
K 0.584 0.250 0.348
K 0.916 0.750 0.848
Si 0.058 0.750 0.374
Si 0.150 0.250 0.480
Si 0.350 0.750 0.980
Si 0.442 0.250 0.874
Si 0.558 0.750 0.126
Si 0.650 0.250 0.020
Si 0.850 0.750 0.520
Si 0.942 0.250 0.626

## Properties
Its symmetry is Pnma (62).

---

Arrangement 2

A geometry-optimized KSi2 structure. Source: Alexandria via LeMat-Bulk, functional PBE.

Cell lengths 8.272, 8.272, 6.458 Å; angles 90.00, 90.00, 159.90 degrees
Positions (direct):
K 0.100 0.900 0.750
K 0.900 0.100 0.250
Si 0.210 0.790 0.250
Si 0.409 0.591 0.750
Si 0.591 0.409 0.250
Si 0.790 0.210 0.750

## Properties
Its symmetry is Cmcm (63).

---

Energy ordering: arrangement 1 at the bottom, the next structure 333 meV per atom above.

---

Arrangement 1

A geometry-optimized K4Si structure. Source: Alexandria via LeMat-Bulk, functional PBE.

Cell lengths 6.645, 6.645, 6.645 Å; angles 90.00, 90.00, 90.00 degrees
Positions (direct):
K 0.000 0.000 0.000
K 0.000 0.500 0.500
K 0.500 0.000 0.500
K 0.500 0.500 0.000
Si 0.500 0.500 0.500

## Properties
Its symmetry is Pm-3m (221).

---

Arrangement 2

A geometry-optimized K4Si structure. Source: Alexandria via LeMat-Bulk, functional PBE.

Cell lengths 7.018, 7.018, 7.018 Å; angles 109.47, 109.47, 109.47 degrees
Positions (direct):
K 0.000 0.000 0.500
K 0.000 0.500 0.000
K 0.500 0.000 0.000
K 0.500 0.500 0.500
Si 0.000 0.000 0.000

## Properties
Its symmetry is Im-3m (229).

---

Energy ordering: arrangement 2 at the bottom, the next structure 44 meV per atom above.

---

Arrangement 1

A geometry-optimized KSi4 structure. Source: Alexandria via LeMat-Bulk, functional PBE.

Cell lengths 5.295, 5.295, 5.295 Å; angles 90.00, 90.00, 90.00 degrees
Positions (direct):
K 0.000 0.000 0.000
Si 0.000 0.000 0.500
Si 0.000 0.500 0.000
Si 0.500 0.000 0.000
Si 0.500 0.500 0.500

## Properties
Its symmetry is Pm-3m (221).

---

Arrangement 2

A geometry-optimized KSi4 structure. Source: Alexandria via LeMat-Bulk, functional PBE.

Cell lengths 6.024, 6.024, 6.024 Å; angles 94.43, 94.43, 147.73 degrees
Positions (direct):
K 0.000 0.000 0.000
Si 0.124 0.393 0.517
Si 0.393 0.876 0.269
Si 0.607 0.124 0.731
Si 0.876 0.607 0.483

## Properties
Its symmetry is I4/m (87).

---

Energy ordering: arrangement 2 at the bottom, the next structure 2009 meV per atom above.

---

Arrangement 1

A geometry-optimized KSiSn structure. Source: Alexandria via LeMat-Bulk, functional PBE.

Cell lengths 7.064, 7.064, 7.236 Å; angles 99.88, 99.88, 33.11 degrees
Positions (direct):
K 0.000 0.000 0.000
K 0.616 0.616 0.525
Si 0.363 0.363 0.599
Si 0.898 0.898 0.443
Sn 0.268 0.268 0.876
Sn 0.738 0.738 0.145

## Properties
Its symmetry is Cm (8).

---

Arrangement 2

A geometry-optimized KSiSn structure. Source: Alexandria via LeMat-Bulk, functional PBE.

Cell lengths 4.329, 4.329, 5.876 Å; angles 90.00, 90.00, 120.00 degrees
Positions (direct):
K 0.000 0.000 0.000
Si 0.333 0.667 0.402
Sn 0.667 0.333 0.550

## Properties
Its symmetry is P3m1 (156).

---

Energy ordering: arrangement 2 at the bottom, the next structure 7 meV per atom above.

---

Arrangement 1

A geometry-optimized KSiSn3 structure. Source: Alexandria via LeMat-Bulk, functional PBE.

Cell lengths 5.401, 5.401, 5.401 Å; angles 90.00, 90.00, 90.00 degrees
Positions (direct):
K 0.000 0.000 0.000
Si 0.500 0.500 0.500
Sn 0.000 0.500 0.500
Sn 0.500 0.000 0.500
Sn 0.500 0.500 0.000

## Properties
Its symmetry is Pm-3m (221).

---

Arrangement 2

A geometry-optimized KSiSn3 structure. Source: Alexandria via LeMat-Bulk, functional PBE.

Cell lengths 5.778, 5.778, 5.778 Å; angles 90.00, 90.00, 90.00 degrees
Positions (direct):
K 0.000 0.000 0.000
Si 0.500 0.500 0.500
Sn 0.000 0.000 0.500
Sn 0.000 0.500 0.000
Sn 0.500 0.000 0.000

## Properties
Its symmetry is Pm-3m (221).

---

Energy ordering: arrangement 1 at the bottom, the next structure 1222 meV per atom above.

---

Arrangement 1

A geometry-optimized KSi3Sn structure. Source: Alexandria via LeMat-Bulk, functional PBE.

Cell lengths 5.322, 5.322, 5.322 Å; angles 90.00, 90.00, 90.00 degrees
Positions (direct):
K 0.000 0.000 0.000
Si 0.000 0.500 0.500
Si 0.500 0.000 0.500
Si 0.500 0.500 0.000
Sn 0.500 0.500 0.500

## Properties
Its symmetry is Pm-3m (221).

---

Arrangement 2

A geometry-optimized KSi3Sn structure. Source: Alexandria via LeMat-Bulk, functional PBE.

Cell lengths 5.348, 5.348, 5.348 Å; angles 90.00, 90.00, 90.00 degrees
Positions (direct):
K 0.000 0.000 0.000
Si 0.000 0.000 0.500
Si 0.000 0.500 0.000
Si 0.500 0.000 0.000
Sn 0.500 0.500 0.500

## Properties
Its symmetry is Pm-3m (221).

---

Energy ordering: arrangement 1 at the bottom, the next structure 939 meV per atom above.

---

Arrangement 1

A geometry-optimized KSr2Si2 structure. Source: Alexandria via LeMat-Bulk, functional PBE.

Cell lengths 8.523, 8.523, 4.441 Å; angles 90.00, 90.00, 90.00 degrees
Positions (direct):
K 0.000 0.000 0.000
K 0.500 0.500 0.000
Sr 0.176 0.324 0.500
Sr 0.324 0.824 0.500
Sr 0.676 0.176 0.500
Sr 0.824 0.676 0.500
Si 0.099 0.599 0.000
Si 0.401 0.099 0.000
Si 0.599 0.901 0.000
Si 0.901 0.401 0.000

## Properties
Its symmetry is P4/mbm (127).

---

Arrangement 2

A geometry-optimized KSr2Si2 structure. Source: Alexandria via LeMat-Bulk, functional PBE.

Cell lengths 9.532, 9.532, 3.383 Å; angles 90.00, 90.00, 90.00 degrees
Positions (direct):
K 0.000 0.000 0.000
K 0.500 0.500 0.000
Sr 0.129 0.371 0.000
Sr 0.371 0.871 0.000
Sr 0.629 0.129 0.000
Sr 0.871 0.629 0.000
Si 0.169 0.669 0.500
Si 0.331 0.169 0.500
Si 0.669 0.831 0.500
Si 0.831 0.331 0.500

## Properties
Its symmetry is P4/mbm (127).

---

Energy ordering: arrangement 1 at the bottom, the next structure 134 meV per atom above.

---

Arrangement 1

A geometry-optimized KTaSi3 structure. Source: Alexandria via LeMat-Bulk, functional PBE.

Cell lengths 4.969, 4.969, 4.969 Å; angles 90.00, 90.00, 90.00 degrees
Positions (direct):
K 0.000 0.000 0.000
Ta 0.500 0.500 0.500
Si 0.000 0.500 0.500
Si 0.500 0.000 0.500
Si 0.500 0.500 0.000

## Properties
Its symmetry is Pm-3m (221).

---

Arrangement 2

A geometry-optimized KTaSi3 structure. Source: Alexandria via LeMat-Bulk, functional PBE.

Cell lengths 4.810, 4.810, 4.810 Å; angles 90.00, 90.00, 90.00 degrees
Positions (direct):
K 0.000 0.000 0.000
Ta 0.500 0.500 0.500
Si 0.000 0.000 0.500
Si 0.000 0.500 0.000
Si 0.500 0.000 0.000

## Properties
Its symmetry is Pm-3m (221).

---

Energy ordering: arrangement 1 at the bottom, the next structure 2294 meV per atom above.

---

Arrangement 1

A geometry-optimized KSi2Tc2 structure. Source: Alexandria via LeMat-Bulk, functional PBE.

Cell lengths 5.639, 5.639, 5.639 Å; angles 132.86, 132.86, 68.87 degrees
Positions (direct):
K 0.000 0.000 0.000
Si 0.250 0.750 0.500
Si 0.750 0.250 0.500
Tc 0.376 0.376 0.000
Tc 0.624 0.624 0.000

## Properties
Its symmetry is I4/mmm (139).

---

Arrangement 2

A geometry-optimized KSi2Tc2 structure. Source: Alexandria via LeMat-Bulk, functional PBE.

Cell lengths 7.834, 7.834, 2.651 Å; angles 90.00, 90.00, 90.00 degrees
Positions (direct):
K 0.000 0.000 0.000
K 0.500 0.500 0.000
Si 0.149 0.351 0.500
Si 0.351 0.851 0.500
Si 0.649 0.149 0.500
Si 0.851 0.649 0.500
Tc 0.137 0.637 0.000
Tc 0.363 0.137 0.000
Tc 0.637 0.863 0.000
Tc 0.863 0.363 0.000

## Properties
Its symmetry is P4/mbm (127).

---

Energy ordering: arrangement 2 at the bottom, the next structure 165 meV per atom above.

---

Arrangement 1

A geometry-optimized K2TlSi2 structure. Source: Alexandria via LeMat-Bulk, functional PBE.

Cell lengths 7.428, 7.428, 7.428 Å; angles 138.40, 138.40, 60.29 degrees
Positions (direct):
K 0.250 0.750 0.500
K 0.750 0.250 0.500
Tl 0.000 0.000 0.000
Si 0.416 0.416 0.000
Si 0.584 0.584 0.000

## Properties
Its symmetry is I4/mmm (139).

---

Arrangement 2

A geometry-optimized K2TlSi2 structure. Source: Alexandria via LeMat-Bulk, functional PBE.

Cell lengths 7.900, 7.900, 5.190 Å; angles 90.00, 90.00, 90.00 degrees
Positions (direct):
K 0.191 0.309 0.000
K 0.309 0.809 0.000
K 0.691 0.191 0.000
K 0.809 0.691 0.000
Tl 0.000 0.000 0.500
Tl 0.500 0.500 0.500
Si 0.099 0.599 0.500
Si 0.401 0.099 0.500
Si 0.599 0.901 0.500
Si 0.901 0.401 0.500

## Properties
Its symmetry is P4/mbm (127).

---

Energy ordering: arrangement 2 at the bottom, the next structure 125 meV per atom above.

---

Arrangement 1

A geometry-optimized KTlSi3 structure. Source: Alexandria via LeMat-Bulk, functional PBE.

Cell lengths 5.542, 5.542, 5.542 Å; angles 90.00, 90.00, 90.00 degrees
Positions (direct):
K 0.000 0.000 0.000
Tl 0.500 0.500 0.500
Si 0.000 0.000 0.500
Si 0.000 0.500 0.000
Si 0.500 0.000 0.000

## Properties
Its symmetry is Pm-3m (221).

---

Arrangement 2

A geometry-optimized KTlSi3 structure. Source: Alexandria via LeMat-Bulk, functional PBE.

Cell lengths 5.417, 5.417, 5.417 Å; angles 90.00, 90.00, 90.00 degrees
Positions (direct):
K 0.000 0.000 0.000
Tl 0.500 0.500 0.500
Si 0.000 0.500 0.500
Si 0.500 0.000 0.500
Si 0.500 0.500 0.000

## Properties
Its symmetry is Pm-3m (221).

---

Energy ordering: arrangement 2 at the bottom, the next structure 703 meV per atom above.